Below is Na3AuO after structural relaxation, with properties calculated at the PBEsol level.

Calculated values
Density   5.0 g/cm³
E_form (uncorrected)   -0.757 eV/atom
Space group   Pm-3m (221)
E_tot   -3.432 eV/atom
V   93.8 Å³/cell

a = 4.5439 Å, b = 4.5439 Å, c = 4.5439 Å
α = 90.00°, β = 90.00°, γ = 90.00°
Fractional coordinates of all 5 atoms:
Na 0.0000 0.0000 0.5000
Na 0.0000 0.5000 0.0000
Na 0.5000 0.0000 0.0000
Au 0.5000 0.5000 0.5000
O 0.0000 0.0000 0.0000

=====

Below is Ba2NiAu after structural relaxation, with properties calculated at the PBEsol level.

Calculated values
Density   6.7 g/cm³
Space group   P4mm (99)
E_tot   -3.656 eV/atom
V   131.1 Å³/cell

a = 4.5290 Å, b = 4.5290 Å, c = 6.3902 Å
α = 90.00°, β = 90.00°, γ = 90.00°
Fractional coordinates of all 4 atoms:
Ba 0.0000 0.0000 0.0000
Ba 0.5000 0.5000 0.4991
Ni 0.0000 0.0000 0.5022
Au 0.5000 0.5000 0.9986

=====

Number 1: size of the total moment 0.000 μB/atom. Number 2: size of the total moment 0.000 μB/atom.